Entry 1:
Computed, not measured: a relaxed MnNbGaTe2 crystal at the PBE level of DFT.

Cell: 5.2568 5.2568 4.3619 Å, 90.00 90.00 90.00°
Last column: nearest neighbours and their distance in Å.
Fractional positions:
Mn 0.0000 0.0000 0.0000  2 Ga 2.18
Nb 0.5000 0.5000 0.0000  8 Te 3.42, 4 Mn 3.72
Ga 0.0000 0.0000 0.5000  2 Mn 2.18
Te 0.0000 0.5000 0.5000  2 Ga 2.63
Te 0.5000 0.0000 0.5000  2 Ga 2.63

density of states at the Fermi level	1.243	states/eV per atom
raw total energy	-4.502	eV per atom
formation energy from raw total energies	1.2076	eV per atom
M_tot	2.5	μB per formula unit

Entry 2:
Computed, not measured: a relaxed Mn2NbGaTe crystal at the PBE level of DFT.

Cell: 4.8020 4.8020 5.1157 Å, 90.00 90.00 90.00°
Last column: nearest neighbours and their distance in Å.
Fractional positions:
Mn 0.0000 0.5000 0.0000  2 Nb 2.40
Mn 0.5000 0.0000 0.0000  2 Nb 2.40
Nb 0.0000 0.0000 0.0000  4 Mn 2.40, 2 Ga 2.56
Ga 0.0000 0.0000 0.5000  2 Nb 2.56
Te 0.5000 0.5000 0.5000  4 Ga 3.40, 8 Mn 3.51

density of states at the Fermi level	0.810	states/eV per atom
raw total energy	-5.963	eV per atom
formation energy from raw total energies	0.9527	eV per atom
M_tot	5.3	μB per formula unit

Entry 3:
Computed, not measured: a relaxed TiMnNbGa crystal at the PBE level of DFT.

Cell: 4.4152 4.4152 4.4152 Å, 60.00 60.00 60.00°
Last column: nearest neighbours and their distance in Å.
Fractional positions:
Ti 0.0000 0.0000 0.0000  4 Mn 2.70, 4 Ga 2.70
Mn 0.2500 0.2500 0.2500  4 Nb 2.70, 4 Ti 2.70
Nb 0.5000 0.5000 0.5000  4 Mn 2.70, 4 Ga 2.70
Ga 0.7500 0.7500 0.7500  4 Nb 2.70, 4 Ti 2.70

formation energy from the elements	-0.6	eV/f.u.
density of states at the Fermi level	1.153	states/eV per atom
raw total energy	-7.693	eV per atom
M_tot	0.4	μB per formula unit

Entry 4:
Computed, not measured: a relaxed MnNbVGa crystal at the PBE level of DFT.

Cell: 4.3202 4.3202 4.3202 Å, 60.00 60.00 60.00°
Last column: nearest neighbours and their distance in Å.
Fractional positions:
Mn 0.0000 0.0000 0.0000  4 Ga 2.65, 4 Nb 2.65
Nb 0.2500 0.2500 0.2500  4 Mn 2.65, 4 V 2.65
V 0.5000 0.5000 0.5000  4 Ga 2.65, 4 Nb 2.65
Ga 0.7500 0.7500 0.7500  4 Mn 2.65, 4 V 2.65

formation energy from the elements	-0.4	eV/f.u.
density of states at the Fermi level	0.824	states/eV per atom
raw total energy	-7.943	eV per atom
M_tot	2.0	μB per formula unit

Entry 5:
Computed, not measured: a relaxed MnNb2V5Ga2 crystal at the PBE level of DFT.

Cell: 9.3772 9.3772 3.3863 Å, 90.00 90.00 90.00°
Last column: nearest neighbours and their distance in Å.
Fractional positions:
Mn 0.0000 0.0000 0.0000  8 V 2.48
Mn 0.5000 0.5000 0.0000  8 V 2.48
Nb 0.1642 0.3358 0.0000  3 Ga 2.67-2.81, 2 V 2.76
Nb 0.3358 0.8358 0.0000  3 Ga 2.67-2.81, 2 V 2.76
Nb 0.6642 0.1642 0.0000  3 Ga 2.67-2.81, 2 V 2.76
Nb 0.8358 0.6642 0.0000  3 Ga 2.67-2.81, 2 V 2.76
V 0.0000 0.5000 0.5000  4 Ga 2.46
V 0.0658 0.8189 0.5000  2 Mn 2.48, 2 Ga 2.50, 2 V 2.56
V 0.1811 0.0658 0.5000  2 Mn 2.48, 2 Ga 2.50, 2 V 2.56
V 0.3189 0.5658 0.5000  2 Mn 2.48, 2 Ga 2.50, 2 V 2.56
V 0.4342 0.3189 0.5000  2 Mn 2.48, 2 Ga 2.50, 2 V 2.56
V 0.5000 0.0000 0.5000  4 Ga 2.46
V 0.5658 0.6811 0.5000  2 Mn 2.48, 2 Ga 2.50, 2 V 2.56
V 0.6811 0.4342 0.5000  2 Mn 2.48, 2 Ga 2.50, 2 V 2.56
V 0.8189 0.9342 0.5000  2 Mn 2.48, 2 Ga 2.50, 2 V 2.56
V 0.9342 0.1811 0.5000  2 Mn 2.48, 2 Ga 2.50, 2 V 2.56
Ga 0.1343 0.6343 0.0000  6 V 2.46-2.50, 1 Nb 2.67
Ga 0.3657 0.1343 0.0000  6 V 2.46-2.50, 1 Nb 2.67
Ga 0.6343 0.8657 0.0000  6 V 2.46-2.50, 1 Nb 2.67
Ga 0.8657 0.3657 0.0000  6 V 2.46-2.50, 1 Nb 2.67

formation energy from the elements	0.3	eV/f.u.
density of states at the Fermi level	0.773	states/eV per atom
raw total energy	-8.069	eV per atom
M_tot	0.0	μB per formula unit

Entry 6:
Computed, not measured: a relaxed Nd2MnGa crystal at the PBE level of DFT.

Cell: 5.2203 5.2203 3.6675 Å, 90.00 90.00 90.00°
Last column: nearest neighbours and their distance in Å.
Fractional positions:
Nd 0.0000 0.5000 0.0000  4 Ga 3.19, 4 Mn 3.19
Nd 0.5000 0.0000 0.0000  4 Ga 3.19, 4 Mn 3.19
Mn 0.0000 0.0000 0.5000  8 Nd 3.19
Ga 0.5000 0.5000 0.5000  8 Nd 3.19

formation energy from the elements	-0.4	eV/f.u.
density of states at the Fermi level	0.999	states/eV per atom
raw total energy	-5.539	eV per atom
M_tot	3.1	μB per formula unit
excess energy over the best structure of this formula in the dataset	0.0	meV/atom

Entry 7:
Computed, not measured: a relaxed NdMnGa11 crystal at the PBE level of DFT.

Cell: 6.6520 6.6520 7.9371 Å, 97.27 97.27 133.83°
Last column: nearest neighbours and their distance in Å.
Fractional positions:
Nd 0.0000 0.0000 0.0000  16 Ga 3.33-3.47
Mn 0.0000 0.0000 0.5000  10 Ga 2.61-2.75
Ga 0.0000 0.5000 0.0000  6 Ga 2.61-2.78
Ga 0.0192 0.6709 0.6364  1 Mn 2.63, 4 Ga 2.77-2.82
Ga 0.2750 0.4947 0.7672  6 Ga 2.69-2.82, 1 Mn 2.75
Ga 0.3291 0.9808 0.3636  1 Mn 2.63, 4 Ga 2.77-2.82
Ga 0.4947 0.2750 0.7672  6 Ga 2.69-2.82, 1 Mn 2.75
Ga 0.5000 0.0000 0.0000  6 Ga 2.61-2.78
Ga 0.5000 0.5000 0.5000  2 Mn 2.61, 8 Ga 2.74-2.77
Ga 0.5053 0.7250 0.2328  6 Ga 2.69-2.82, 1 Mn 2.75
Ga 0.6709 0.0192 0.6364  1 Mn 2.63, 4 Ga 2.77-2.82
Ga 0.7250 0.5053 0.2328  6 Ga 2.69-2.82, 1 Mn 2.75
Ga 0.9808 0.3291 0.3636  1 Mn 2.63, 4 Ga 2.77-2.82

formation energy from the elements	-1.7	eV/f.u.
density of states at the Fermi level	0.447	states/eV per atom
raw total energy	-3.763	eV per atom
M_tot	2.3	μB per formula unit

Entry 8:
Computed, not measured: a relaxed NdMn4Ga8 crystal at the PBE level of DFT.

Cell: 6.7918 6.7918 6.7918 Å, 98.49 98.49 134.82°
Last column: nearest neighbours and their distance in Å.
Fractional positions:
Nd 0.0000 0.0000 0.0000  12 Ga 2.99-3.31
Mn 0.0000 0.0000 0.5000  8 Ga 2.58-2.69, 2 Mn 2.61
Mn 0.0000 0.5000 0.0000  8 Ga 2.58-2.69, 2 Mn 2.61
Mn 0.5000 0.0000 0.0000  8 Ga 2.58-2.69, 2 Mn 2.61
Mn 0.5000 0.5000 0.5000  8 Ga 2.58-2.69, 2 Mn 2.61
Ga 0.0000 0.3372 0.3372  4 Mn 2.69, 5 Ga 2.78-2.89, 1 Nd 2.99
Ga 0.0000 0.6628 0.6628  4 Mn 2.69, 5 Ga 2.78-2.89, 1 Nd 2.99
Ga 0.2705 0.5000 0.7705  4 Mn 2.58, 6 Ga 2.78-2.88
Ga 0.3372 0.0000 0.3372  4 Mn 2.69, 5 Ga 2.78-2.89, 1 Nd 2.99
Ga 0.5000 0.2705 0.7705  4 Mn 2.58, 6 Ga 2.78-2.88
Ga 0.5000 0.7295 0.2295  4 Mn 2.58, 6 Ga 2.78-2.88
Ga 0.6628 0.0000 0.6628  4 Mn 2.69, 5 Ga 2.78-2.89, 1 Nd 2.99
Ga 0.7295 0.5000 0.2295  4 Mn 2.58, 6 Ga 2.78-2.88

formation energy from the elements	-3.3	eV/f.u.
density of states at the Fermi level	0.650	states/eV per atom
raw total energy	-5.302	eV per atom
M_tot	9.2	μB per formula unit

Entry 9:
Computed, not measured: a relaxed Nd2MnGa crystal at the PBE level of DFT.

Cell: 5.2172 5.2172 5.2172 Å, 60.00 60.00 60.00°
Last column: nearest neighbours and their distance in Å.
Fractional positions:
Nd 0.2500 0.2500 0.2500  4 Mn 3.19, 4 Ga 3.19
Nd 0.7500 0.7500 0.7500  4 Ga 3.19, 4 Mn 3.19
Mn 0.0000 0.0000 0.0000  8 Nd 3.19
Ga 0.5000 0.5000 0.5000  8 Nd 3.19

formation energy from the elements	-0.4	eV/f.u.
density of states at the Fermi level	1.288	states/eV per atom
raw total energy	-5.526	eV per atom
M_tot	3.3	μB per formula unit
excess energy over the best structure of this formula in the dataset	13.2	meV/atom

Entry 10:
Computed, not measured: a relaxed Nd2MnGa5 crystal at the PBE level of DFT.

Cell: 6.2462 6.2462 6.2462 Å, 120.06 120.06 89.89°
Last column: nearest neighbours and their distance in Å.
Fractional positions:
Nd 0.0000 0.5000 0.5000  10 Ga 3.12-3.14
Nd 0.5000 0.0000 0.5000  10 Ga 3.12-3.14
Mn 0.2277 0.2277 0.0000  5 Ga 2.54-2.56
Ga 0.5172 0.5172 0.0000  1 Mn 2.56, 4 Ga 2.79
Ga 0.5359 0.5359 0.5731  1 Mn 2.54, 3 Ga 2.66-2.79
Ga 0.5359 0.9628 0.0000  1 Mn 2.54, 3 Ga 2.66-2.79
Ga 0.9628 0.5359 0.0000  1 Mn 2.54, 3 Ga 2.66-2.79
Ga 0.9628 0.9628 0.4269  1 Mn 2.54, 3 Ga 2.66-2.79

formation energy from the elements	-3.2	eV/f.u.
density of states at the Fermi level	0.513	states/eV per atom
raw total energy	-4.624	eV per atom
M_tot	3.2	μB per formula unit